Entry 1:
Compound: Er5TmSc2In
Source: the Alexandria database
Functional: PBE
Structure: relaxed

Results
SG = Cmc2_1 (36)
DFT total energy = -4.719 eV/atom
ΔH_f (0 K) = 0.02 eV per atom
theoretical density = 7642 kg/m3
Fermi-level density of states = 1.57 states/eV/atom

Cell and atoms, written as extended XYZ:
```
18
Lattice="2.6148 -9.6761 0.0000 2.6148 9.6761 0.0000 0.0000 0.0000 10.3908" Properties=species:S:1:pos:R:3 pbc="T T T"
Er 2.6148 -9.6734 0.0000
Er 2.6148 9.6734 5.1954
Er 2.6148 7.3118 7.7966
Er 2.6148 5.6243 0.4983
Er 2.6148 5.6329 4.7042
Er 2.6148 0.1651 7.7972
Er 2.6148 -0.1651 2.6018
Er 2.6148 -5.6243 5.6937
Er 2.6148 -5.6329 9.8996
Er 2.6148 -7.3118 2.6013
Tm 2.6148 3.8875 7.7972
Tm 2.6148 -3.8875 2.6018
Sc 2.6148 2.2402 0.3975
Sc 2.6148 2.2428 4.8064
Sc 2.6148 -2.2402 5.5929
Sc 2.6148 -2.2428 10.0018
In 2.6148 7.8704 2.5942
In 2.6148 -7.8704 7.7896
```

Entry 2:
Compound: Cs3LaCe2S6
Source: the Alexandria database
Functional: PBE
Structure: relaxed

Results
SG = C2/m (12)
DFT total energy = -5.472 eV/atom
theoretical density = 4327 kg/m3
Fermi-level density of states = 0.94 states/eV/atom
formation energy without anion corrections = -1795 meV/atom

Cell and atoms, written as extended XYZ:
```
12
Lattice="3.7259 -6.4537 0.0000 3.7259 6.4537 0.0000 -2.4837 0.0000 8.0608" Properties=species:S:1:pos:R:3 pbc="T T T"
Cs 0.0000 0.0000 0.0000
Cs 3.7259 2.1448 0.0000
Cs 3.7259 -2.1448 0.0000
La 2.4840 0.0000 4.0304
Ce 2.4840 4.3019 4.0304
Ce 2.4840 -4.3019 4.0304
S 1.2276 2.1762 2.5355
S -0.0287 0.0000 5.5231
S 1.2276 -2.1762 2.5355
S 3.7405 2.1762 5.5253
S 4.9968 0.0000 2.5378
S 3.7405 -2.1762 5.5253
```

Entry 3:
Compound: LaHo2Lu
Source: the Alexandria database
Functional: PBE
Structure: relaxed

Results
SG = Fm-3m (225)
DFT total energy = -4.516 eV/atom
ΔH_f (0 K) = 0.14 eV per atom
theoretical density = 8212 kg/m3
polymorph energy (0 for the lowest one) = 37 kJ/mol of formula units
Fermi-level density of states = 1.81 states/eV/atom

Cell and atoms, written as extended XYZ:
```
4
Lattice="0.0000 4.0224 4.0224 4.0224 0.0000 4.0224 4.0224 4.0224 0.0000" Properties=species:S:1:pos:R:3 pbc="T T T"
La 0.0000 0.0000 0.0000
Ho 2.0112 2.0112 2.0112
Ho 6.0336 6.0336 6.0336
Lu 4.0224 4.0224 4.0224
```

Entry 4:
Compound: Cr2CuIr
Source: the Alexandria database
Functional: PBE
Structure: relaxed

Results
SG = Cmm2 (35)
DFT total energy = -7.852 eV/atom
ΔH_f (0 K) = 0.20 eV per atom
theoretical density = 11594 kg/m3
Fermi-level density of states = 1.18 states/eV/atom

Cell and atoms, written as extended XYZ:
```
4
Lattice="1.4281 -2.1785 0.0000 1.4281 2.1785 0.0000 0.0000 0.0000 8.2812" Properties=species:S:1:pos:R:3 pbc="T T T"
Cr 0.0000 0.0000 0.0000
Cr 1.4281 0.0000 1.7749
Cu 1.4281 0.0000 6.1700
Ir 0.0000 0.0000 3.9189
```

Entry 5:
Compound: Ir2Pd2Cl
Source: the Alexandria database
Functional: PBE
Structure: relaxed

Results
SG = P4/mbm (127)
DFT total energy = -5.368 eV/atom
theoretical density = 12481 kg/m3
polymorph energy (0 for the lowest one) = 0 kJ/mol of formula units
Fermi-level density of states = 1.63 states/eV/atom
formation energy without anion corrections = 622 meV/atom

Cell and atoms, written as extended XYZ:
```
10
Lattice="7.8377 0.0000 0.0000 0.0000 7.8377 0.0000 0.0000 0.0000 2.7407" Properties=species:S:1:pos:R:3 pbc="T T T"
Ir 0.9337 2.9852 0.0000
Ir 2.9852 6.9040 0.0000
Ir 4.8526 0.9337 0.0000
Ir 6.9040 4.8526 0.0000
Pd 1.3771 5.2960 1.3704
Pd 2.5418 1.3771 1.3704
Pd 5.2960 6.4606 1.3704
Pd 6.4606 2.5418 1.3704
Cl 0.0000 0.0000 0.0000
Cl 3.9189 3.9189 0.0000
```

Entry 6:
Compound: Tl3GaSn3
Source: the Alexandria database
Functional: PBE
Structure: relaxed

Results
SG = C2/m (12)
DFT total energy = -3.120 eV/atom
ΔH_f (0 K) = 0.04 eV per atom
theoretical density = 8590 kg/m3
Fermi-level density of states = 0.46 states/eV/atom

Cell and atoms, written as extended XYZ:
```
14
Lattice="7.6210 -1.7094 0.0000 7.6210 1.7094 0.0000 -6.6133 0.0000 15.4177" Properties=species:S:1:pos:R:3 pbc="T T T"
Tl -0.5804 0.0000 2.1747
Tl -0.3513 0.0000 6.2265
Tl -0.9934 0.0000 11.3532
Tl 9.6220 0.0000 4.0645
Tl 8.9799 0.0000 9.1912
Tl 9.2090 0.0000 13.2430
Ga 3.9888 0.0000 1.7554
Ga 4.6398 0.0000 13.6623
Sn -0.9140 0.0000 14.8788
Sn 3.0712 0.0000 6.8675
Sn 4.9477 0.0000 4.4255
Sn 3.6809 0.0000 10.9922
Sn 5.5574 0.0000 8.5502
Sn 9.5426 0.0000 0.5389
```

Entry 7:
Compound: Ac3Pr4Tm
Source: the Alexandria database
Functional: PBE
Structure: relaxed

Results
SG = Pmmn (59)
DFT total energy = -4.453 eV/atom
ΔH_f (0 K) = 0.04 eV per atom
theoretical density = 7624 kg/m3
Fermi-level density of states = 1.65 states/eV/atom

Cell and atoms, written as extended XYZ:
```
16
Lattice="5.3744 0.0000 0.0000 0.0000 10.7023 0.0000 0.0000 0.0000 10.7062" Properties=species:S:1:pos:R:3 pbc="T T T"
Ac 1.3436 0.0437 1.3898
Ac 1.3436 2.6756 9.3144
Ac 1.3436 5.3074 1.3898
Ac 4.0308 5.3949 9.3164
Ac 4.0308 8.0267 1.3918
Ac 4.0308 10.6585 9.3164
Pr 1.3436 2.6756 4.0392
Pr 1.3436 5.4021 6.6401
Pr 1.3436 8.0267 4.1063
Pr 1.3436 10.6513 6.6401
Pr 4.0308 0.0510 4.0661
Pr 4.0308 2.6756 6.5999
Pr 4.0308 5.3001 4.0661
Pr 4.0308 8.0267 6.6670
Tm 1.3436 8.0267 9.2683
Tm 4.0308 2.6756 1.4379
```

Entry 8:
Compound: Y2AlAu6
Source: the Alexandria database
Functional: PBE
Structure: relaxed

Results
SG = C2/m (12)
DFT total energy = -4.691 eV/atom
ΔH_f (0 K) = -0.65 eV per atom
theoretical density = 12429 kg/m3
Fermi-level density of states = 0.47 states/eV/atom

Cell and atoms, written as extended XYZ:
```
9
Lattice="5.4602 -3.1465 0.0000 5.4602 3.1465 0.0000 -0.0079 0.0000 5.3913" Properties=species:S:1:pos:R:3 pbc="T T T"
Y 1.8157 0.0000 0.9517
Y 9.0969 0.0000 4.4396
Al 5.4602 0.0000 0.0000
Au 4.4697 1.7047 1.6344
Au 3.4768 0.0000 3.7601
Au 6.4429 1.7047 3.7568
Au 4.4697 -1.7047 1.6344
Au 7.4358 0.0000 1.6312
Au 6.4429 -1.7047 3.7568
```

Entry 9:
Compound: Mn2CdMo
Source: the Alexandria database
Functional: PBE
Structure: relaxed

Results
SG = P4/mmm (123)
DFT total energy = -7.289 eV/atom
ΔH_f (0 K) = 0.23 eV per atom
theoretical density = 8402 kg/m3
Fermi-level density of states = 0.91 states/eV/atom

Cell and atoms, written as extended XYZ:
```
4
Lattice="3.1267 0.0000 0.0000 0.0000 3.1267 0.0000 0.0000 0.0000 6.4327" Properties=species:S:1:pos:R:3 pbc="T T T"
Mn 0.0000 0.0000 1.3617
Mn 0.0000 0.0000 5.0710
Cd 1.5634 1.5634 3.2164
Mo 1.5634 1.5634 0.0000
```

Entry 10:
Compound: AcPr2Pt
Source: the Alexandria database
Functional: PBE
Structure: relaxed

Results
SG = P2_1/m (11)
DFT total energy = -5.516 eV/atom
ΔH_f (0 K) = -0.59 eV per atom
theoretical density = 8950 kg/m3
polymorph energy (0 for the lowest one) = 7 kJ/mol of formula units
Fermi-level density of states = 1.40 states/eV/atom

Cell and atoms, written as extended XYZ:
```
8
Lattice="4.0258 0.0000 0.0000 0.0000 10.4470 0.0000 -2.0103 0.0000 6.2103" Properties=species:S:1:pos:R:3 pbc="T T T"
Ac 0.0031 2.6117 1.0073
Ac 2.0124 7.8352 5.2030
Pr 0.0032 0.6659 4.4605
Pr 0.0032 4.5575 4.4605
Pr 2.0123 5.8894 1.7497
Pr 2.0123 9.7810 1.7497
Pt -0.0010 7.8352 2.8109
Pt 2.0165 2.6117 3.3994
```

Entry 11:
Compound: KZnAs3F18
Source: the Alexandria database
Functional: PBE
Structure: relaxed

Results
SG = Pnma (62)
DFT total energy = -4.408 eV/atom
theoretical density = 3089 kg/m3
Fermi-level density of states = 0.00 states/eV/atom
formation energy without anion corrections = -2234 meV/atom

Cell and atoms, written as extended XYZ:
```
92
Lattice="10.5765 0.0000 0.0000 0.0000 14.1356 0.0000 0.0000 0.0000 9.6553" Properties=species:S:1:pos:R:3 pbc="T T T"
K 0.8333 3.5339 0.2487
K 4.4549 10.6017 5.0764
K 6.1216 3.5339 4.5790
K 9.7432 10.6017 9.4066
Zn 0.0000 0.0000 4.8277
Zn 0.0000 7.0678 4.8277
Zn 5.2883 0.0000 0.0000
Zn 5.2883 7.0678 0.0000
As 0.2252 10.6017 3.7503
As 2.1467 7.7939 7.7847
As 2.1467 13.4096 7.7847
As 3.1416 0.7260 2.9570
As 3.1416 6.3418 2.9570
As 5.0631 3.5339 8.5779
As 5.5135 10.6017 1.0774
As 7.4350 7.7939 6.6983
As 7.4350 13.4096 6.6983
As 8.4298 0.7260 1.8706
As 8.4298 6.3418 1.8706
As 10.3513 3.5339 5.9051
F 0.1955 3.5339 4.2104
F 0.2584 8.7735 3.7302
F 0.2584 12.4300 3.7302
F 0.6763 10.6017 2.0526
F 0.8139 7.8975 6.5291
F 0.8139 13.3059 6.5291
F 1.2792 8.9933 8.7282
F 1.2792 12.2102 8.7282
F 1.2912 0.5526 8.6220
F 1.2912 6.5152 8.6220
F 1.4557 3.5339 6.3625
F 1.8365 0.7103 4.2336
F 1.8365 6.3575 4.2336
F 1.9335 10.6017 4.1787
F 2.2801 7.5201 2.0087
F 2.2801 13.6833 2.0087
F 2.2902 2.0193 2.1196
F 2.2902 5.0485 2.1196
F 2.9981 9.0871 6.9473
F 2.9981 12.1164 6.9473
F 3.0082 0.4523 6.8364
F 3.0082 6.6155 6.8364
F 3.3547 3.5339 9.0064
F 3.4518 7.7781 9.0612
F 3.4518 13.4253 9.0612
F 3.8326 10.6017 1.5348
F 3.9971 7.6205 3.7944
F 3.9971 13.5830 3.7944
F 4.0091 1.9255 3.9005
F 4.0091 5.1423 3.9005
F 4.4744 0.8297 1.7015
F 4.4744 6.2381 1.7015
F 4.6120 3.5339 6.8802
F 5.0298 1.7056 8.5578
F 5.0298 5.3622 8.5578
F 5.0927 10.6017 9.0381
F 5.4838 3.5339 0.6173
F 5.5467 8.7735 1.0975
F 5.5467 12.4300 1.0975
F 5.9645 10.6017 2.7751
F 6.1021 7.8975 7.9539
F 6.1021 13.3059 7.9539
F 6.5674 8.9933 5.7548
F 6.5674 12.2102 5.7548
F 6.5794 0.5526 5.8610
F 6.5794 6.5152 5.8610
F 6.7440 3.5339 8.1205
F 7.1248 0.7103 0.5941
F 7.1248 6.3575 0.5941
F 7.2218 10.6017 0.6489
F 7.5683 7.5201 2.8189
F 7.5683 13.6833 2.8189
F 7.5785 2.0193 2.7080
F 7.5785 5.0485 2.7080
F 8.2863 9.0871 7.5357
F 8.2863 12.1164 7.5357
F 8.2965 0.4523 7.6466
F 8.2965 6.6155 7.6466
F 8.6430 3.5339 5.4766
F 8.7400 7.7781 5.4218
F 8.7400 13.4253 5.4218
F 9.1208 10.6017 3.2928
F 9.2854 7.6205 1.0333
F 9.2854 13.5830 1.0333
F 9.2974 1.9255 0.9271
F 9.2974 5.1423 0.9271
F 9.7627 0.8297 3.1262
F 9.7627 6.2381 3.1262
F 9.9003 3.5339 7.6028
F 10.3181 1.7056 5.9252
F 10.3181 5.3622 5.9252
F 10.3810 10.6017 5.4449
```

Entry 12:
Compound: NdNi3Sn3
Source: the Alexandria database
Functional: PBE
Structure: relaxed

Results
SG = R-3 (148)
DFT total energy = -5.104 eV/atom
ΔH_f (0 K) = -0.23 eV per atom
theoretical density = 7676 kg/m3
polymorph energy (0 for the lowest one) = 0 kJ/mol of formula units
Fermi-level density of states = 0.22 states/eV/atom

Cell and atoms, written as extended XYZ:
```
14
Lattice="4.0981 2.3660 5.0304 -4.0981 2.3660 5.0304 0.0000 -4.7320 5.0304" Properties=species:S:1:pos:R:3 pbc="T T T"
Nd 0.0000 0.0000 2.5950
Nd 0.0000 0.0000 12.4963
Ni -1.3944 -2.3616 6.7169
Ni -2.7424 0.0268 8.3744
Ni -1.3480 2.3884 6.7169
Ni 1.3479 -2.3884 8.3744
Ni 2.7424 -0.0268 6.7169
Ni 1.3944 2.3615 8.3744
Sn -2.3220 0.1018 5.8497
Sn -1.2491 -1.9600 9.2416
Sn 1.0729 -2.0618 5.8497
Sn -1.0729 2.0618 9.2416
Sn 1.2491 1.9600 5.8497
Sn 2.3220 -0.1018 9.2416
```